#P
Here is a relaxed Re2BiAs crystal from the Alexandria database. Energies are from PBE.

a b c (Å): 6.509 6.509 6.509
angles (deg): 90.00 90.00 90.00
Fractional positions:
Re: 0.250 0.250 0.250
Re: 0.250 0.250 0.750
Re: 0.250 0.750 0.250
Re: 0.250 0.750 0.750
Re: 0.750 0.250 0.250
Re: 0.750 0.250 0.750
Re: 0.750 0.750 0.250
Re: 0.750 0.750 0.750
Bi: 0.000 0.000 0.000
Bi: 0.000 0.500 0.500
Bi: 0.500 0.000 0.500
Bi: 0.500 0.500 0.000
As: 0.000 0.000 0.500
As: 0.000 0.500 0.000
As: 0.500 0.000 0.000
As: 0.500 0.500 0.500

Properties
Space group: Fm-3m (225)

#Q
Here is a relaxed Re2BiAs crystal from the Alexandria database. Energies are from PBE.

a b c (Å): 4.369 4.369 17.509
angles (deg): 90.00 90.00 90.00
Fractional positions:
Re: 0.152 0.250 0.125
Re: 0.250 0.652 0.375
Re: 0.250 0.848 0.875
Re: 0.348 0.250 0.625
Re: 0.652 0.750 0.625
Re: 0.750 0.152 0.875
Re: 0.750 0.348 0.375
Re: 0.848 0.750 0.125
Bi: 0.000 0.000 0.500
Bi: 0.000 0.500 0.750
Bi: 0.500 0.000 0.250
Bi: 0.500 0.500 0.000
As: 0.000 0.000 0.000
As: 0.000 0.500 0.250
As: 0.500 0.000 0.750
As: 0.500 0.500 0.500

Properties
Space group: I-42d (122)

Stability, lowest: #P

#P
Here is a relaxed Re2BiAs2 crystal from the Alexandria database. Energies are from PBE.

a b c (Å): 7.741 7.741 3.072
angles (deg): 90.00 90.00 90.00
Fractional positions:
Re: 0.127 0.373 0.000
Re: 0.373 0.873 0.000
Re: 0.627 0.127 0.000
Re: 0.873 0.627 0.000
Bi: 0.000 0.000 0.000
Bi: 0.500 0.500 0.000
As: 0.144 0.644 0.500
As: 0.356 0.144 0.500
As: 0.644 0.856 0.500
As: 0.856 0.356 0.500

Properties
Space group: P4/mbm (127)

#Q
Here is a relaxed Re2BiAs2 crystal from the Alexandria database. Energies are from PBE.

a b c (Å): 4.059 4.059 11.647
angles (deg): 90.00 90.00 90.00
Fractional positions:
Re: 0.000 0.000 0.120
Re: 0.000 0.000 0.880
Re: 0.500 0.500 0.380
Re: 0.500 0.500 0.620
Bi: 0.000 0.000 0.500
Bi: 0.500 0.500 0.000
As: 0.000 0.500 0.250
As: 0.000 0.500 0.750
As: 0.500 0.000 0.250
As: 0.500 0.000 0.750

Properties
Space group: I4/mmm (139)

Stability, lowest: #P

#P
Here is a relaxed BiAsRh crystal from the Alexandria database. Energies are from PBE.

a b c (Å): 6.352 6.352 6.352
angles (deg): 90.00 90.00 90.00
Fractional positions:
Bi: 0.135 0.365 0.635
Bi: 0.365 0.635 0.135
Bi: 0.635 0.135 0.365
Bi: 0.865 0.865 0.865
As: 0.122 0.122 0.122
As: 0.378 0.878 0.622
As: 0.622 0.378 0.878
As: 0.878 0.622 0.378
Rh: 0.032 0.968 0.468
Rh: 0.468 0.032 0.968
Rh: 0.532 0.532 0.532
Rh: 0.968 0.468 0.032

Properties
Space group: P2_13 (198)

#Q
Here is a relaxed BiAsRh crystal from the Alexandria database. Energies are from PBE.

a b c (Å): 6.591 6.523 6.628
angles (deg): 90.00 115.13 90.00
Fractional positions:
Bi: 0.155 0.131 0.363
Bi: 0.155 0.369 0.863
Bi: 0.845 0.631 0.137
Bi: 0.845 0.869 0.637
As: 0.351 0.642 0.668
As: 0.351 0.858 0.168
As: 0.649 0.142 0.832
As: 0.649 0.358 0.332
Rh: 0.295 0.516 0.297
Rh: 0.295 0.984 0.797
Rh: 0.705 0.016 0.203
Rh: 0.705 0.484 0.703

Properties
Space group: P2_1/c (14)

Stability, lowest: #P

#P
Here is a relaxed BiAsRhSe2 crystal from the Alexandria database. Energies are from PBE.

a b c (Å): 5.104 5.104 4.590
angles (deg): 90.00 90.00 90.00
Fractional positions:
Bi: 0.000 0.000 0.000
As: 0.500 0.500 0.000
Rh: 0.500 0.500 0.500
Se: 0.000 0.500 0.500
Se: 0.500 0.000 0.500

Properties
Space group: P4/mmm (123)

#Q
Here is a relaxed BiAsRhSe2 crystal from the Alexandria database. Energies are from PBE.

a b c (Å): 5.443 5.443 5.411
angles (deg): 90.00 90.00 90.00
Fractional positions:
Bi: 0.000 0.000 0.000
As: 0.000 0.000 0.500
Rh: 0.500 0.500 0.500
Se: 0.000 0.500 0.000
Se: 0.500 0.000 0.000

Properties
Space group: P4/mmm (123)

Stability, lowest: #Q

#P
Here is a relaxed BiAsRuSe2 crystal from the Alexandria database. Energies are from PBE.

a b c (Å): 5.088 5.088 4.592
angles (deg): 90.00 90.00 90.00
Fractional positions:
Bi: 0.000 0.000 0.000
As: 0.500 0.500 0.000
Ru: 0.500 0.500 0.500
Se: 0.000 0.500 0.500
Se: 0.500 0.000 0.500

Properties
Space group: P4/mmm (123)

#Q
Here is a relaxed BiAsRuSe2 crystal from the Alexandria database. Energies are from PBE.

a b c (Å): 5.437 5.437 5.425
angles (deg): 90.00 90.00 90.00
Fractional positions:
Bi: 0.000 0.000 0.000
As: 0.000 0.000 0.500
Ru: 0.500 0.500 0.500
Se: 0.000 0.500 0.000
Se: 0.500 0.000 0.000

Properties
Space group: P4/mmm (123)

Stability, lowest: #Q

#P
Here is a relaxed BiAs2S4 crystal from the Alexandria database. Energies are from PBE.

a b c (Å): 6.394 6.394 12.883
angles (deg): 90.00 90.00 144.23
Fractional positions:
Bi: 0.095 0.905 0.750
Bi: 0.905 0.095 0.250
As: 0.365 0.635 0.548
As: 0.365 0.635 0.952
As: 0.635 0.365 0.048
As: 0.635 0.365 0.452
S: 0.000 0.000 0.000
S: 0.000 0.000 0.500
S: 0.269 0.731 0.112
S: 0.269 0.731 0.388
S: 0.447 0.553 0.750
S: 0.553 0.447 0.250
S: 0.731 0.269 0.612
S: 0.731 0.269 0.888

Properties
Space group: Cmcm (63)

#Q
Here is a relaxed BiAs2S4 crystal from the Alexandria database. Energies are from PBE.

a b c (Å): 7.298 7.624 8.202
angles (deg): 97.91 112.97 107.20
Fractional positions:
Bi: 0.000 0.000 0.000
Bi: 0.200 0.446 0.760
As: 0.133 0.783 0.435
As: 0.631 0.343 0.368
As: 0.641 0.240 0.882
As: 0.656 0.687 0.479
S: 0.226 0.796 0.210
S: 0.356 0.228 0.618
S: 0.411 0.288 0.061
S: 0.570 0.934 0.890
S: 0.810 0.811 0.303
S: 0.861 0.170 0.718
S: 0.934 0.709 0.746
S: 0.969 0.422 0.382

Properties
Space group: P1 (1)

Stability, lowest: #P